# La5Pm2PrTm PBE-GGA optimized geometry
data_La5Pm2PrTm
_chemical_formula_sum 'La20 Pm8 Pr4 Tm4'
_space_group_name_H-M_alt 'I 4/m c m'
_space_group_IT_number 140
_space_group_name_Hall '-I 4 2c'
_cell_length_a 9.2484
_cell_length_b 9.2484
_cell_length_c 15.1510
_cell_angle_alpha 90.00
_cell_angle_beta 90.00
_cell_angle_gamma 90.00
loop_
_atom_site_label
_atom_site_type_symbol
_atom_site_fract_x
_atom_site_fract_y
_atom_site_fract_z
La1 La 0.0000 0.0000 0.0000
La2 La 0.2084 0.2916 0.1387
Pm1 Pm 0.1128 0.3872 0.5000
Pr1 Pr 0.0000 0.0000 0.2500
Tm1 Tm 0.0000 0.5000 0.2500
# E_tot: -4.552 eV/atom
# Energy of formation from the pure elements: 269 meV/atom

***

# MgCdPb4 PBE-GGA optimized geometry
data_MgCdPb4
_chemical_formula_sum 'Mg4 Cd4 Pb16'
_space_group_name_H-M_alt 'F -4 3 m'
_space_group_IT_number 216
_space_group_name_Hall 'F -4 2 3'
_cell_length_a 9.1743
_cell_length_b 9.1743
_cell_length_c 9.1743
_cell_angle_alpha 90.00
_cell_angle_beta 90.00
_cell_angle_gamma 90.00
loop_
_atom_site_label
_atom_site_type_symbol
_atom_site_fract_x
_atom_site_fract_y
_atom_site_fract_z
Mg1 Mg 0.0000 0.0000 0.0000
Cd1 Cd 0.2500 0.2500 0.2500
Pb1 Pb 0.1252 0.1252 0.6252
# E_tot: -2.678 eV/atom
# Energy of formation from the pure elements: 212 meV/atom
# ΔE to the lowest computed polymorph: 212 meV/atom

***

# NaFe2Pd8 PBE-GGA optimized geometry
data_NaFe2Pd8
_chemical_formula_sum 'Na2 Fe4 Pd16'
_space_group_name_H-M_alt 'C 1 2/m 1'
_space_group_IT_number 12
_cell_length_a 14.0081
_cell_length_b 3.9745
_cell_length_c 6.2982
_cell_angle_alpha 90.00
_cell_angle_beta 106.52
_cell_angle_gamma 90.00
loop_
_space_group_symop_operation_xyz
'x,y,z'
'-x,-y,-z'
'-x,y,-z'
'x,-y,z'
'x+1/2,y+1/2,z'
'-x+1/2,-y+1/2,-z'
'-x+1/2,y+1/2,-z'
'x+1/2,-y+1/2,z'
loop_
_atom_site_label
_atom_site_type_symbol
_atom_site_fract_x
_atom_site_fract_y
_atom_site_fract_z
Na1 Na 0.0000 0.0000 0.0000
Fe1 Fe 0.2259 0.5000 0.6526
Pd1 Pd 0.0473 0.5000 0.7214
Pd2 Pd 0.1016 0.0000 0.4696
Pd3 Pd 0.1477 0.5000 0.2097
Pd4 Pd 0.1830 0.0000 0.9178
# E_tot: -5.500 eV/atom
# Energy of formation from the pure elements: -65 meV/atom

***

# NdAl4Ir2Pt PBE-GGA optimized geometry
data_NdAl4Ir2Pt
_chemical_formula_sum 'Nd3 Al12 Ir6 Pt3'
_space_group_name_H-M_alt 'R -3 m'
_space_group_IT_number 166
_space_group_name_Hall '-R 3 2"'
_cell_length_a 4.2548
_cell_length_b 4.2548
_cell_length_c 26.7238
_cell_angle_alpha 90.00
_cell_angle_beta 90.00
_cell_angle_gamma 120.00
loop_
_atom_site_label
_atom_site_type_symbol
_atom_site_fract_x
_atom_site_fract_y
_atom_site_fract_z
Nd1 Nd 0.0000 0.0000 0.0000
Al1 Al 0.0000 0.0000 0.1303
Al2 Al 0.0000 0.0000 0.4042
Ir1 Ir 0.0000 0.0000 0.2313
Pt1 Pt 0.0000 0.0000 0.5000
# E_tot: -6.261 eV/atom
# Energy of formation from the pure elements: -823 meV/atom

***

# Y2InB PBE-GGA optimized geometry
data_Y2InB
_chemical_formula_sum 'Y8 In4 B4'
_space_group_name_H-M_alt 'I -4 2 d'
_space_group_IT_number 122
_space_group_name_Hall 'I -4 2bw'
_cell_length_a 7.5979
_cell_length_b 7.5979
_cell_length_c 6.8213
_cell_angle_alpha 90.00
_cell_angle_beta 90.00
_cell_angle_gamma 90.00
loop_
_atom_site_label
_atom_site_type_symbol
_atom_site_fract_x
_atom_site_fract_y
_atom_site_fract_z
Y1 Y 0.1804 0.2500 0.1250
In1 In 0.0000 0.0000 0.5000
B1 B 0.0000 0.0000 0.0000
# E_tot: -5.502 eV/atom
# Energy of formation from the pure elements: 84 meV/atom
# ΔE to the lowest computed polymorph: 0 meV/atom

***

# Ce2GeBr PBE-GGA optimized geometry
data_Ce2GeBr
_chemical_formula_sum 'Ce4 Ge2 Br2'
_space_group_name_H-M_alt 'P m m n'
_space_group_IT_number 59
_cell_length_a 4.2939
_cell_length_b 7.3603
_cell_length_c 7.2807
_cell_angle_alpha 90.00
_cell_angle_beta 90.00
_cell_angle_gamma 90.00
loop_
_space_group_symop_operation_xyz
'x,y,z'
'-x,-y,-z'
'-x+1/2,-y+1/2,z'
'x+1/2,y+1/2,-z'
'x+1/2,-y,-z'
'-x+1/2,y,z'
'-x,y+1/2,-z'
'x,-y+1/2,z'
loop_
_atom_site_label
_atom_site_type_symbol
_atom_site_fract_x
_atom_site_fract_y
_atom_site_fract_z
Ce1 Ce 0.2500 0.0029 0.2280
Ge1 Ge 0.2500 0.7500 0.9048
Br1 Br 0.2500 0.2500 0.5824
# E_tot: -5.407 eV/atom
# Uncorrected formation energy: -3.47 eV/f.u.
# ΔE to the lowest computed polymorph: 147 meV/atom

***

# PrPaRe PBE-GGA optimized geometry
data_PrPaRe
_chemical_formula_sum 'Pr4 Pa4 Re4'
_space_group_name_H-M_alt 'C 1 2/m 1'
_space_group_IT_number 12
_cell_length_a 6.3155
_cell_length_b 6.3161
_cell_length_c 8.3896
_cell_angle_alpha 90.00
_cell_angle_beta 111.82
_cell_angle_gamma 90.00
loop_
_space_group_symop_operation_xyz
'x,y,z'
'-x,-y,-z'
'-x,y,-z'
'x,-y,z'
'x+1/2,y+1/2,z'
'-x+1/2,-y+1/2,-z'
'-x+1/2,y+1/2,-z'
'x+1/2,-y+1/2,z'
loop_
_atom_site_label
_atom_site_type_symbol
_atom_site_fract_x
_atom_site_fract_y
_atom_site_fract_z
Pr1 Pr 0.1632 0.0000 0.3300
Pa1 Pa 0.1040 0.5000 0.2119
Re1 Re 0.2500 0.2500 0.0000
# E_tot: -8.686 eV/atom
# Energy of formation from the pure elements: 222 meV/atom
# ΔE to the lowest computed polymorph: 115 meV/atom

***

# Ca2H2Rh PBE-GGA optimized geometry
data_Ca2H2Rh
_chemical_formula_sum 'Ca4 H4 Rh2'
_space_group_name_H-M_alt 'I 4/m m m'
_space_group_IT_number 139
_space_group_name_Hall '-I 4 2'
_cell_length_a 4.9430
_cell_length_b 4.9430
_cell_length_c 7.1621
_cell_angle_alpha 90.00
_cell_angle_beta 90.00
_cell_angle_gamma 90.00
loop_
_atom_site_label
_atom_site_type_symbol
_atom_site_fract_x
_atom_site_fract_y
_atom_site_fract_z
Ca1 Ca 0.0000 0.5000 0.2500
H1 H 0.0000 0.0000 0.2370
Rh1 Rh 0.0000 0.0000 0.0000
# E_tot: -4.126 eV/atom
# ΔE to the lowest computed polymorph: 0 meV/atom

***

# LuHPt2 PBE-GGA optimized geometry
data_LuHPt2
_chemical_formula_sum 'Lu3 H3 Pt6'
_space_group_name_H-M_alt 'R -3 m'
_space_group_IT_number 166
_space_group_name_Hall '-R 3 2"'
_cell_length_a 2.9714
_cell_length_b 2.9714
_cell_length_c 23.5657
_cell_angle_alpha 90.00
_cell_angle_beta 90.00
_cell_angle_gamma 120.00
loop_
_atom_site_label
_atom_site_type_symbol
_atom_site_fract_x
_atom_site_fract_y
_atom_site_fract_z
Lu1 Lu 0.0000 0.0000 0.0000
H1 H 0.0000 0.0000 0.5000
Pt1 Pt 0.0000 0.0000 0.1131
# E_tot: -4.880 eV/atom

***

# La7NdSm12 PBE-GGA optimized geometry
data_La7NdSm12
_chemical_formula_sum 'La21 Nd3 Sm36'
_space_group_name_H-M_alt 'R -3'
_space_group_IT_number 148
_space_group_name_Hall '-R 3'
_cell_length_a 12.3618
_cell_length_b 12.3618
_cell_length_c 16.2040
_cell_angle_alpha 90.00
_cell_angle_beta 90.00
_cell_angle_gamma 120.00
loop_
_atom_site_label
_atom_site_type_symbol
_atom_site_fract_x
_atom_site_fract_y
_atom_site_fract_z
La1 La 0.0000 0.0000 0.0000
La2 La 0.0525 0.1837 0.2896
Nd1 Nd 0.0000 0.0000 0.5000
Sm1 Sm 0.0228 0.4447 0.2212
Sm2 Sm 0.0525 0.5881 0.5825
# E_tot: -4.587 eV/atom
# Energy of formation from the pure elements: 207 meV/atom
# ΔE to the lowest computed polymorph: 0 meV/atom

***

# Ba3SnSb PBE-GGA optimized geometry
data_Ba3SnSb
_chemical_formula_sum 'Ba3 Sn1 Sb1'
_space_group_name_H-M_alt 'P m -3 m'
_space_group_IT_number 221
_space_group_name_Hall '-P 4 2 3'
_cell_length_a 6.5632
_cell_length_b 6.5632
_cell_length_c 6.5632
_cell_angle_alpha 90.00
_cell_angle_beta 90.00
_cell_angle_gamma 90.00
loop_
_atom_site_label
_atom_site_type_symbol
_atom_site_fract_x
_atom_site_fract_y
_atom_site_fract_z
Ba1 Ba 0.0000 0.0000 0.5000
Sn1 Sn 0.5000 0.5000 0.5000
Sb1 Sb 0.0000 0.0000 0.0000
# E_tot: -3.185 eV/atom
# Uncorrected formation energy: -2.03 eV/f.u.
# ΔE to the lowest computed polymorph: 334 meV/atom

***

# Ac2ScIrO8 PBE-GGA optimized geometry
data_Ac2ScIrO8
_chemical_formula_sum 'Ac2 Sc1 Ir1 O8'
_space_group_name_H-M_alt 'P -1'
_space_group_IT_number 2
_cell_length_a 4.5864
_cell_length_b 6.1292
_cell_length_c 6.5311
_cell_angle_alpha 89.98
_cell_angle_beta 85.93
_cell_angle_gamma 75.57
loop_
_space_group_symop_operation_xyz
'x,y,z'
'-x,-y,-z'
loop_
_atom_site_label
_atom_site_type_symbol
_atom_site_fract_x
_atom_site_fract_y
_atom_site_fract_z
Ac1 Ac 0.2349 0.0523 0.2521
Sc1 Sc 0.5000 0.5000 0.5000
Ir1 Ir 0.5000 0.5000 0.0000
O1 O 0.2381 0.7927 0.9597
O2 O 0.2463 0.4486 0.2435
O3 O 0.2772 0.8327 0.5558
O4 O 0.3275 0.3551 0.7924
# E_tot: -7.511 eV/atom
# Uncorrected formation energy: -27.05 eV/f.u.

***

# V2OsPt PBE-GGA optimized geometry
data_V2OsPt
_chemical_formula_sum 'V2 Os1 Pt1'
_space_group_name_H-M_alt 'P 4/m m m'
_space_group_IT_number 123
_space_group_name_Hall '-P 4 2'
_cell_length_a 3.9091
_cell_length_b 3.9091
_cell_length_c 3.6900
_cell_angle_alpha 90.00
_cell_angle_beta 90.00
_cell_angle_gamma 90.00
loop_
_atom_site_label
_atom_site_type_symbol
_atom_site_fract_x
_atom_site_fract_y
_atom_site_fract_z
V1 V 0.0000 0.5000 0.0000
Os1 Os 0.0000 0.0000 0.5000
Pt1 Pt 0.5000 0.5000 0.5000
# E_tot: -9.233 eV/atom
# Energy of formation from the pure elements: -356 meV/atom

***

# UGePt6 PBE-GGA optimized geometry
data_UGePt6
_chemical_formula_sum 'U2 Ge2 Pt12'
_space_group_name_H-M_alt 'C 1 2/m 1'
_space_group_IT_number 12
_cell_length_a 8.2788
_cell_length_b 5.5559
_cell_length_c 7.1814
_cell_angle_alpha 90.00
_cell_angle_beta 113.97
_cell_angle_gamma 90.00
loop_
_space_group_symop_operation_xyz
'x,y,z'
'-x,-y,-z'
'-x,y,-z'
'x,-y,z'
'x+1/2,y+1/2,z'
'-x+1/2,-y+1/2,-z'
'-x+1/2,y+1/2,-z'
'x+1/2,-y+1/2,z'
loop_
_atom_site_label
_atom_site_type_symbol
_atom_site_fract_x
_atom_site_fract_y
_atom_site_fract_z
U1 U 0.0000 0.0000 0.0000
Ge1 Ge 0.0000 0.5000 0.5000
Pt1 Pt 0.1638 0.0000 0.4398
Pt2 Pt 0.1808 0.2424 0.7923
# E_tot: -6.857 eV/atom
# Energy of formation from the pure elements: -338 meV/atom